1.
Entry from Alexandria via LeMat-Bulk: a relaxed structure of SrLiMn2Cu (GGA-PBE).

Cell: 5.6977 5.6977 5.3448 Å, 90.00 90.00 90.00°
Sites, in units of the cell vectors:
Sr: 0.0000 0.0000 0.0000
Li: 0.5000 0.5000 0.5000
Mn: 0.0000 0.5000 0.0000
Mn: 0.5000 0.0000 0.0000
Cu: 0.0000 0.0000 0.5000

Output
E_form, meV per atom: 1567

2.
Entry from Alexandria via LeMat-Bulk: a relaxed structure of HfBeCu (GGA-PBE).

Cell: 6.2134 6.2134 3.7396 Å, 90.00 90.00 120.00°
Sites, in units of the cell vectors:
Hf: 0.0000 0.4201 0.0000
Hf: 0.4201 0.0000 0.0000
Hf: 0.5799 0.5799 0.0000
Be: 0.0000 0.0000 0.0000
Be: 0.3333 0.6667 0.5000
Be: 0.6667 0.3333 0.5000
Cu: 0.0000 0.7606 0.5000
Cu: 0.2394 0.2394 0.5000
Cu: 0.7606 0.0000 0.5000

Output
Excess energy over the best structure of this formula in the dataset, meV per atom: 0
E_form, meV per atom: -193

3.
Entry from Alexandria via LeMat-Bulk: a relaxed structure of TbThCo2 (GGA-PBE).

Cell: 6.8123 6.8123 6.8123 Å, 90.00 90.00 90.00°
Sites, in units of the cell vectors:
Tb: 0.0000 0.0000 0.0000
Tb: 0.0000 0.5000 0.5000
Tb: 0.5000 0.0000 0.5000
Tb: 0.5000 0.5000 0.0000
Th: 0.0000 0.0000 0.5000
Th: 0.0000 0.5000 0.0000
Th: 0.5000 0.0000 0.0000
Th: 0.5000 0.5000 0.5000
Co: 0.2500 0.2500 0.2500
Co: 0.2500 0.2500 0.7500
Co: 0.2500 0.7500 0.2500
Co: 0.2500 0.7500 0.7500
Co: 0.7500 0.2500 0.2500
Co: 0.7500 0.2500 0.7500
Co: 0.7500 0.7500 0.2500
Co: 0.7500 0.7500 0.7500

Output
Excess energy over the best structure of this formula in the dataset, meV per atom: 128
E_form, meV per atom: -127

4.
Entry from Alexandria via LeMat-Bulk: a relaxed structure of Tl3In5I12 (GGA-PBE).

Cell: 17.1408 17.1408 17.1408 Å, 109.47 109.47 109.47°
Sites, in units of the cell vectors:
Tl: 0.1250 0.2500 0.3750
Tl: 0.1250 0.3750 0.7500
Tl: 0.2500 0.3750 0.1250
Tl: 0.2500 0.8750 0.6250
Tl: 0.3750 0.1250 0.2500
Tl: 0.3750 0.7500 0.1250
Tl: 0.6250 0.2500 0.8750
Tl: 0.6250 0.8750 0.7500
Tl: 0.7500 0.1250 0.3750
Tl: 0.7500 0.6250 0.8750
Tl: 0.8750 0.6250 0.2500
Tl: 0.8750 0.7500 0.6250
In: 0.0000 0.0000 0.0000
In: 0.0000 0.0000 0.5000
In: 0.0000 0.5000 0.0000
In: 0.0000 0.5000 0.5000
In: 0.1250 0.7500 0.8750
In: 0.1250 0.8750 0.2500
In: 0.2500 0.1250 0.8750
In: 0.2500 0.6250 0.3750
In: 0.3750 0.2500 0.6250
In: 0.3750 0.6250 0.7500
In: 0.5000 0.0000 0.0000
In: 0.5000 0.0000 0.5000
In: 0.5000 0.5000 0.0000
In: 0.5000 0.5000 0.5000
In: 0.6250 0.3750 0.2500
In: 0.6250 0.7500 0.3750
In: 0.7500 0.3750 0.6250
In: 0.7500 0.8750 0.1250
In: 0.8750 0.1250 0.7500
In: 0.8750 0.2500 0.1250
I: 0.0311 0.2176 0.1239
I: 0.0311 0.3135 0.9072
I: 0.0928 0.6239 0.4063
I: 0.0928 0.9689 0.6865
I: 0.0937 0.7176 0.6865
I: 0.0937 0.8761 0.4072
I: 0.1239 0.0311 0.2176
I: 0.1239 0.5928 0.9063
I: 0.1865 0.2176 0.5937
I: 0.1865 0.4689 0.5928
I: 0.2176 0.1239 0.0311
I: 0.2176 0.5937 0.1865
I: 0.2824 0.3135 0.9063
I: 0.2824 0.4689 0.3761
I: 0.3135 0.9063 0.2824
I: 0.3135 0.9072 0.0311
I: 0.3761 0.2824 0.4689
I: 0.3761 0.5937 0.9072
I: 0.4063 0.0928 0.6239
I: 0.4063 0.8135 0.7824
I: 0.4072 0.0937 0.8761
I: 0.4072 0.8135 0.5311
I: 0.4689 0.3761 0.2824
I: 0.4689 0.5928 0.1865
I: 0.5311 0.4072 0.8135
I: 0.5311 0.6239 0.7176
I: 0.5928 0.1865 0.4689
I: 0.5928 0.9063 0.1239
I: 0.5937 0.1865 0.2176
I: 0.5937 0.9072 0.3761
I: 0.6239 0.4063 0.0928
I: 0.6239 0.7176 0.5311
I: 0.6865 0.0928 0.9689
I: 0.6865 0.0937 0.7176
I: 0.7176 0.5311 0.6239
I: 0.7176 0.6865 0.0937
I: 0.7824 0.4063 0.8135
I: 0.7824 0.8761 0.9689
I: 0.8135 0.5311 0.4072
I: 0.8135 0.7824 0.4063
I: 0.8761 0.4072 0.0937
I: 0.8761 0.9689 0.7824
I: 0.9063 0.1239 0.5928
I: 0.9063 0.2824 0.3135
I: 0.9072 0.0311 0.3135
I: 0.9072 0.3761 0.5937
I: 0.9689 0.6865 0.0928
I: 0.9689 0.7824 0.8761

Output
Uncorrected formation energy, eV/atom: -0.47